# ZnC3 | Alexandria | PBE | relaxed
data_ZnC3
_chemical_formula_sum 'Zn1 C3'
_cell_length_a 3.321
_cell_length_b 3.321
_cell_length_c 3.321
_cell_angle_alpha 90.00
_cell_angle_beta 90.00
_cell_angle_gamma 90.00
_space_group_name_H-M_alt 'P m -3 m'
_space_group_IT_number 221
_space_group_name_Hall '-P 4 2 3'
loop_
_atom_site_label
_atom_site_type_symbol
_atom_site_fract_x
_atom_site_fract_y
_atom_site_fract_z
Zn1 Zn 0.000 0.000 0.000
C1 C 0.000 0.500 0.500
# Density of states at the Fermi level = 0.687 states/eV/atom
# Total DFT energy (no corrections) = -3.97 eV per atom
# Crystal system = cubic